VTc2HRh, relaxed, DFT PBE; DOS(E_F) = 0.94 states/eV per atom; electronic total energy = -0.3011 Ha/atom
1.0
3.8769 0.0000 0.0000
0.0000 3.8769 0.0000
0.0000 0.0000 3.9232
V Tc H Rh
1 2 1 1
Cartesian
0.0000 0.0000 0.0000
0.0000 1.9385 1.9616
1.9385 0.0000 1.9616
1.9385 1.9385 1.9616
1.9385 1.9385 0.0000